Record 1
VASP calculation (PBE) on a relaxed structure of In2Hg7.

Results
Polymorph energy (0 for the lowest one) = 94 meV per atom
Space-group type = R-3m (166)

Geometry as CIF:
```
data_In2Hg7
_chemical_formula_sum 'In4 Hg14'
_space_group_name_H-M_alt 'P 1'
_space_group_IT_number 1
_cell_length_a 16.9005
_cell_length_b 16.9005
_cell_length_c 16.9005
_cell_angle_alpha 20.56
_cell_angle_beta 20.56
_cell_angle_gamma 20.56
loop_
_space_group_symop_operation_xyz
'x,y,z'
loop_
_atom_site_label
_atom_site_type_symbol
_atom_site_fract_x
_atom_site_fract_y
_atom_site_fract_z
_atom_site_occupancy
In1 In 0.0387 0.0387 0.0387 1
In2 In 0.1569 0.1569 0.1569 1
In3 In 0.8431 0.8431 0.8431 1
In4 In 0.9613 0.9613 0.9613 1
Hg1 Hg 0.0000 0.5000 0.5000 1
Hg2 Hg 0.1107 0.6149 0.6149 1
Hg3 Hg 0.2758 0.2758 0.2758 1
Hg4 Hg 0.3851 0.3851 0.8893 1
Hg5 Hg 0.3851 0.8893 0.3851 1
Hg6 Hg 0.3912 0.3912 0.3912 1
Hg7 Hg 0.5000 0.0000 0.5000 1
Hg8 Hg 0.5000 0.5000 0.0000 1
Hg9 Hg 0.5000 0.5000 0.5000 1
Hg10 Hg 0.6088 0.6088 0.6088 1
Hg11 Hg 0.6149 0.1107 0.6149 1
Hg12 Hg 0.6149 0.6149 0.1107 1
Hg13 Hg 0.7242 0.7242 0.7242 1
Hg14 Hg 0.8893 0.3851 0.3851 1
```

Record 2
VASP calculation (PBE) on a relaxed structure of InHg.

Results
Space-group type = P6_3/mmc (194)
DFT total energy = -0.05345 Ha/atom

Geometry as CIF:
```
data_InHg
_chemical_formula_sum 'In4 Hg4'
_space_group_name_H-M_alt 'P 1'
_space_group_IT_number 1
_cell_length_a 5.2490
_cell_length_b 5.2490
_cell_length_c 9.5747
_cell_angle_alpha 90.00
_cell_angle_beta 90.00
_cell_angle_gamma 120.00
loop_
_space_group_symop_operation_xyz
'x,y,z'
loop_
_atom_site_label
_atom_site_type_symbol
_atom_site_fract_x
_atom_site_fract_y
_atom_site_fract_z
_atom_site_occupancy
In1 In 0.0000 0.0000 0.2500 1
In2 In 0.0000 0.0000 0.7500 1
In3 In 0.3333 0.6667 0.2500 1
In4 In 0.6667 0.3333 0.7500 1
Hg1 Hg 0.3333 0.6667 0.5731 1
Hg2 Hg 0.3333 0.6667 0.9269 1
Hg3 Hg 0.6667 0.3333 0.0731 1
Hg4 Hg 0.6667 0.3333 0.4269 1
```

Record 3
VASP calculation (PBE) on a relaxed structure of InHg.

Results
Space-group type = Imm2 (44)
DFT total energy = -0.05533 Ha/atom

Geometry as CIF:
```
data_InHg
_chemical_formula_sum 'In3 Hg3'
_space_group_name_H-M_alt 'P 1'
_space_group_IT_number 1
_cell_length_a 7.2784
_cell_length_b 7.2784
_cell_length_c 7.2784
_cell_angle_alpha 146.63
_cell_angle_beta 62.08
_cell_angle_gamma 129.28
loop_
_space_group_symop_operation_xyz
'x,y,z'
loop_
_atom_site_label
_atom_site_type_symbol
_atom_site_fract_x
_atom_site_fract_y
_atom_site_fract_z
_atom_site_occupancy
In1 In 0.0000 0.0000 0.0000 1
In2 In 0.5597 0.2198 0.3400 1
In3 In 0.8798 0.2198 0.6600 1
Hg1 Hg 0.0633 0.7222 0.3411 1
Hg2 Hg 0.3811 0.7222 0.6589 1
Hg3 Hg 0.4955 0.4955 0.0000 1
```

Record 4
VASP calculation (PBE) on a relaxed structure of InHg.

Results
Space-group type = P6_3/mmc (194)
DFT total energy = -0.05234 Ha/atom

Geometry as CIF:
```
data_InHg
_chemical_formula_sum 'In2 Hg2'
_space_group_name_H-M_alt 'P 1'
_space_group_IT_number 1
_cell_length_a 5.0868
_cell_length_b 5.0868
_cell_length_c 6.0294
_cell_angle_alpha 90.00
_cell_angle_beta 90.00
_cell_angle_gamma 120.00
loop_
_space_group_symop_operation_xyz
'x,y,z'
loop_
_atom_site_label
_atom_site_type_symbol
_atom_site_fract_x
_atom_site_fract_y
_atom_site_fract_z
_atom_site_occupancy
In1 In 0.3333 0.6667 0.2500 1
In2 In 0.6667 0.3333 0.7500 1
Hg1 Hg 0.3333 0.6667 0.7500 1
Hg2 Hg 0.6667 0.3333 0.2500 1
```

Record 5
VASP calculation (PBE) on a relaxed structure of In5Hg.

Results
Polymorph energy (0 for the lowest one) = 117 meV per atom
Space-group type = P6/mmm (191)

Geometry as CIF:
```
data_In5Hg
_chemical_formula_sum 'In5 Hg1'
_space_group_name_H-M_alt 'P 1'
_space_group_IT_number 1
_cell_length_a 5.9940
_cell_length_b 5.9940
_cell_length_c 5.8071
_cell_angle_alpha 90.00
_cell_angle_beta 90.00
_cell_angle_gamma 120.00
loop_
_space_group_symop_operation_xyz
'x,y,z'
loop_
_atom_site_label
_atom_site_type_symbol
_atom_site_fract_x
_atom_site_fract_y
_atom_site_fract_z
_atom_site_occupancy
In1 In 0.0000 0.5000 0.0000 1
In2 In 0.3333 0.6667 0.5000 1
In3 In 0.5000 0.0000 0.0000 1
In4 In 0.5000 0.5000 0.0000 1
In5 In 0.6667 0.3333 0.5000 1
Hg1 Hg 0.0000 0.0000 0.5000 1
```

Record 6
VASP calculation (PBE) on a relaxed structure of InHg.

Results
Space-group type = Fm-3m (225)
DFT total energy = -0.05485 Ha/atom

Geometry as CIF:
```
data_InHg
_chemical_formula_sum 'In1 Hg1'
_space_group_name_H-M_alt 'P 1'
_space_group_IT_number 1
_cell_length_a 4.3240
_cell_length_b 4.3240
_cell_length_c 4.3240
_cell_angle_alpha 60.00
_cell_angle_beta 60.00
_cell_angle_gamma 60.00
loop_
_space_group_symop_operation_xyz
'x,y,z'
loop_
_atom_site_label
_atom_site_type_symbol
_atom_site_fract_x
_atom_site_fract_y
_atom_site_fract_z
_atom_site_occupancy
In1 In 0.0000 0.0000 0.0000 1
Hg1 Hg 0.5000 0.5000 0.5000 1
```

Q: Which formula does entry 3 have?
A: InHg

Q: Which formula does entry 5 have?
A: In5Hg